[1]
Entry from Alexandria via LeMat-Bulk: TcAu3O at its PBEsol-relaxed geometry (SCAN).

For the formation energy from raw total energies, the calculation gives 1.72 eV per atom. Its total energy is -240.16 eV/cell.

The space group is Pm-3m (No. 221) and the conventional cell measures 4.897, 4.897 and 4.897 Å, with angles of 90.00, 90.00 and 90.00 degrees. The distinct sites, in fractional coordinates, are Tc at (0.000, 0.000, 0.000), Au at (0.000, 0.000, 0.500) and O at (0.500, 0.500, 0.500).


[2]
Entry from Alexandria via LeMat-Bulk: TeAuO3 at its PBEsol-relaxed geometry (SCAN).

For the formation energy from raw total energies, the calculation gives -0.23 eV per atom. Its total energy is -126.23 eV/cell.

The space group is Pm-3m (No. 221) and the conventional cell measures 4.030, 4.030 and 4.030 Å, with angles of 90.00, 90.00 and 90.00 degrees. The distinct sites, in fractional coordinates, are Te at (0.000, 0.000, 0.000), Au at (0.500, 0.500, 0.500) and O at (0.000, 0.000, 0.500).


[3]
Entry from Alexandria via LeMat-Bulk: TeAuO3 at its PBEsol-relaxed geometry (SCAN).

For the formation energy from raw total energies, the calculation gives 0.32 eV per atom. Its total energy is -123.48 eV/cell.

The space group is Pm-3m (No. 221) and the conventional cell measures 4.069, 4.069 and 4.069 Å, with angles of 90.00, 90.00 and 90.00 degrees. The distinct sites, in fractional coordinates, are Te at (0.000, 0.000, 0.000), Au at (0.500, 0.500, 0.500) and O at (0.000, 0.500, 0.500).


[4]
Entry from Alexandria via LeMat-Bulk: Te2AuO at its PBEsol-relaxed geometry (SCAN).

For the formation energy from raw total energies, the calculation gives 0.19 eV per atom. Its total energy is -447.35 eV/cell.

The space group is R-3m (No. 166, hexagonal axes) and the conventional cell measures 3.1248, 3.1248 and 27.1208 Å, with angles of 90.00, 90.00 and 120.00 degrees. The distinct sites, in fractional coordinates, are Te at (0.0000, 0.0000, 0.1005), Au at (0.0000, 0.0000, 0.0000) and O at (0.0000, 0.0000, 0.5000).


[5]
Entry from Alexandria via LeMat-Bulk: Ti3AuO at its PBEsol-relaxed geometry (SCAN).

For the formation energy from raw total energies, the calculation gives -1.53 eV per atom. Its total energy is -131.13 eV/cell.

The space group is Pm-3m (No. 221) and the conventional cell measures 4.082, 4.082 and 4.082 Å, with angles of 90.00, 90.00 and 90.00 degrees. The distinct sites, in fractional coordinates, are Ti at (0.000, 0.000, 0.500), Au at (0.500, 0.500, 0.500) and O at (0.000, 0.000, 0.000).


[6]
Entry from Alexandria via LeMat-Bulk: Os3Au at its PBEsol-relaxed geometry (SCAN).

The excess energy over the best structure of this formula in the dataset comes out at 106 meV/atom. Its total energy is -564.79 eV/cell.

The space group is Cmmm (No. 65) and the conventional cell measures 5.455, 7.718 and 2.758 Å, with angles of 90.00, 90.00 and 90.00 degrees. The distinct sites, in fractional coordinates, are Os at (0.000, 0.000, 0.000), Os at (0.250, 0.250, 0.500) and Au at (0.000, 0.500, 0.000).